# K2RbB | the Alexandria database | PBE-GGA | optimized geometry
# electronic total energy = -0.1043 Ry per atom
# density = 0.97 Mg/m³
data_K2RbB
_chemical_formula_sum 'K8 Rb4 B4'
_cell_length_a 9.445
_cell_length_b 9.445
_cell_length_c 13.449
_cell_angle_alpha 90.00
_cell_angle_beta 90.00
_cell_angle_gamma 90.00
_space_group_name_H-M_alt 'I -4 2 d'
_space_group_IT_number 122
_space_group_name_Hall 'I -4 2bw'
loop_
_atom_site_label
_atom_site_type_symbol
_atom_site_fract_x
_atom_site_fract_y
_atom_site_fract_z
_atom_site_occupancy
K1 K 0.009 0.250 0.125 1
Rb1 Rb 0.000 0.000 0.500 1
B1 B 0.000 0.000 0.000 1

---

# KRb3B | the Alexandria database | PBE-GGA | optimized geometry
# relative energy among the computed polymorphs = 0 meV per atom
# electronic total energy = -0.1013 Ry per atom
# density = 1.64 Mg/m³
data_KRb3B
_chemical_formula_sum 'K1 Rb3 B1'
_cell_length_a 6.764
_cell_length_b 6.764
_cell_length_c 6.764
_cell_angle_alpha 90.00
_cell_angle_beta 90.00
_cell_angle_gamma 90.00
_space_group_name_H-M_alt 'P m -3 m'
_space_group_IT_number 221
_space_group_name_Hall '-P 4 2 3'
loop_
_atom_site_label
_atom_site_type_symbol
_atom_site_fract_x
_atom_site_fract_y
_atom_site_fract_z
_atom_site_occupancy
K1 K 0.000 0.000 0.000 1
Rb1 Rb 0.000 0.500 0.500 1
B1 B 0.500 0.500 0.500 1

---

# K2RbBSb | the Alexandria database | PBE-GGA | optimized geometry
# electronic total energy = -0.1489 Ry per atom
# raw formation energy = 0.77 eV/atom
# density = 2.34 Mg/m³
data_K2RbBSb
_chemical_formula_sum 'K2 Rb1 B1 Sb1'
_cell_length_a 5.948
_cell_length_b 5.948
_cell_length_c 5.944
_cell_angle_alpha 90.00
_cell_angle_beta 90.00
_cell_angle_gamma 90.00
_space_group_name_H-M_alt 'P 4/m m m'
_space_group_IT_number 123
_space_group_name_Hall '-P 4 2'
loop_
_atom_site_label
_atom_site_type_symbol
_atom_site_fract_x
_atom_site_fract_y
_atom_site_fract_z
_atom_site_occupancy
K1 K 0.000 0.500 0.000 1
Rb1 Rb 0.000 0.000 0.500 1
B1 B 0.000 0.000 0.000 1
Sb1 Sb 0.500 0.500 0.500 1

---

# KRbSiB2 | the Alexandria database | PBE-GGA | optimized geometry
# electronic total energy = -0.2132 Ry per atom
# raw formation energy = 1.27 eV/atom
# density = 2.79 Mg/m³
data_KRbSiB2
_chemical_formula_sum 'K1 Rb1 Si1 B2'
_cell_length_a 4.215
_cell_length_b 4.215
_cell_length_c 5.832
_cell_angle_alpha 90.00
_cell_angle_beta 90.00
_cell_angle_gamma 90.00
_space_group_name_H-M_alt 'P 4/m m m'
_space_group_IT_number 123
_space_group_name_Hall '-P 4 2'
loop_
_atom_site_label
_atom_site_type_symbol
_atom_site_fract_x
_atom_site_fract_y
_atom_site_fract_z
_atom_site_occupancy
K1 K 0.000 0.000 0.000 1
Rb1 Rb 0.500 0.500 0.000 1
Si1 Si 0.500 0.500 0.500 1
B1 B 0.000 0.500 0.500 1

---

# KRb2BTe | the Alexandria database | PBE-GGA | optimized geometry
# electronic total energy = -0.1618 Ry per atom
# raw formation energy = 0.37 eV/atom
# density = 2.78 Mg/m³
data_KRb2BTe
_chemical_formula_sum 'K1 Rb2 B1 Te1'
_cell_length_a 5.920
_cell_length_b 5.920
_cell_length_c 5.946
_cell_angle_alpha 90.00
_cell_angle_beta 90.00
_cell_angle_gamma 90.00
_space_group_name_H-M_alt 'P 4/m m m'
_space_group_IT_number 123
_space_group_name_Hall '-P 4 2'
loop_
_atom_site_label
_atom_site_type_symbol
_atom_site_fract_x
_atom_site_fract_y
_atom_site_fract_z
_atom_site_occupancy
K1 K 0.000 0.000 0.000 1
Rb1 Rb 0.000 0.500 0.500 1
B1 B 0.000 0.000 0.500 1
Te1 Te 0.500 0.500 0.000 1

---

# KReB3 | the Alexandria database | PBE-GGA | optimized geometry
# relative energy among the computed polymorphs = 3196 meV per atom
# electronic total energy = -0.2099 Ry per atom
# density = 6.68 Mg/m³
data_KReB3
_chemical_formula_sum 'K1 Re1 B3'
_cell_length_a 4.001
_cell_length_b 4.001
_cell_length_c 4.001
_cell_angle_alpha 90.00
_cell_angle_beta 90.00
_cell_angle_gamma 90.00
_space_group_name_H-M_alt 'P m -3 m'
_space_group_IT_number 221
_space_group_name_Hall '-P 4 2 3'
loop_
_atom_site_label
_atom_site_type_symbol
_atom_site_fract_x
_atom_site_fract_y
_atom_site_fract_z
_atom_site_occupancy
K1 K 0.000 0.000 0.000 1
Re1 Re 0.500 0.500 0.500 1
B1 B 0.000 0.000 0.500 1

---

# KReB3 | the Alexandria database | PBE-GGA | optimized geometry
# relative energy among the computed polymorphs = 0 meV per atom
# electronic total energy = -0.4448 Ry per atom
# density = 5.58 Mg/m³
data_KReB3
_chemical_formula_sum 'K1 Re1 B3'
_cell_length_a 4.250
_cell_length_b 4.250
_cell_length_c 4.250
_cell_angle_alpha 90.00
_cell_angle_beta 90.00
_cell_angle_gamma 90.00
_space_group_name_H-M_alt 'P m -3 m'
_space_group_IT_number 221
_space_group_name_Hall '-P 4 2 3'
loop_
_atom_site_label
_atom_site_type_symbol
_atom_site_fract_x
_atom_site_fract_y
_atom_site_fract_z
_atom_site_occupancy
K1 K 0.000 0.000 0.000 1
Re1 Re 0.500 0.500 0.500 1
B1 B 0.000 0.500 0.500 1

---

# K2ReB2 | the Alexandria database | PBE-GGA | optimized geometry
# relative energy among the computed polymorphs = 427 meV per atom
# electronic total energy = -0.2070 Ry per atom
# density = 4.09 Mg/m³
data_K2ReB2
_chemical_formula_sum 'K4 Re2 B4'
_cell_length_a 5.065
_cell_length_b 5.065
_cell_length_c 9.058
_cell_angle_alpha 90.00
_cell_angle_beta 90.00
_cell_angle_gamma 90.00
_space_group_name_H-M_alt 'I 4/m m m'
_space_group_IT_number 139
_space_group_name_Hall '-I 4 2'
loop_
_atom_site_label
_atom_site_type_symbol
_atom_site_fract_x
_atom_site_fract_y
_atom_site_fract_z
_atom_site_occupancy
K1 K 0.000 0.000 0.144 1
Re1 Re 0.000 0.000 0.500 1
B1 B 0.000 0.500 0.250 1

---

# K2ReB | the Alexandria database | PBE-GGA | optimized geometry
# electronic total energy = -0.3073 Ry per atom
# density = 2.83 Mg/m³
data_K2ReB
_chemical_formula_sum 'K8 Re4 B4'
_cell_length_a 12.473
_cell_length_b 12.473
_cell_length_c 4.153
_cell_angle_alpha 90.00
_cell_angle_beta 90.00
_cell_angle_gamma 90.00
_space_group_name_H-M_alt 'I -4 2 d'
_space_group_IT_number 122
_space_group_name_Hall 'I -4 2bw'
loop_
_atom_site_label
_atom_site_type_symbol
_atom_site_fract_x
_atom_site_fract_y
_atom_site_fract_z
_atom_site_occupancy
K1 K 0.002 0.250 0.125 1
Re1 Re 0.000 0.000 0.500 1
B1 B 0.000 0.000 0.000 1

---

# K2ReB2 | the Alexandria database | PBE-GGA | optimized geometry
# relative energy among the computed polymorphs = 0 meV per atom
# electronic total energy = -0.2384 Ry per atom
# density = 4.83 Mg/m³
data_K2ReB2
_chemical_formula_sum 'K4 Re2 B4'
_cell_length_a 8.828
_cell_length_b 8.828
_cell_length_c 2.522
_cell_angle_alpha 90.00
_cell_angle_beta 90.00
_cell_angle_gamma 90.00
_space_group_name_H-M_alt 'P 4/m b m'
_space_group_IT_number 127
_space_group_name_Hall '-P 4 2ab'
loop_
_atom_site_label
_atom_site_type_symbol
_atom_site_fract_x
_atom_site_fract_y
_atom_site_fract_z
_atom_site_occupancy
K1 K 0.133 0.367 0.000 1
Re1 Re 0.000 0.000 0.000 1
B1 B 0.164 0.664 0.500 1

---

# K2ReBRh | the Alexandria database | PBE-GGA | optimized geometry
# electronic total energy = -0.2735 Ry per atom
# density = 3.54 Mg/m³
data_K2ReBRh
_chemical_formula_sum 'K2 Re1 B1 Rh1'
_cell_length_a 6.178
_cell_length_b 6.178
_cell_length_c 4.654
_cell_angle_alpha 90.00
_cell_angle_beta 90.00
_cell_angle_gamma 90.00
_space_group_name_H-M_alt 'P 4/m m m'
_space_group_IT_number 123
_space_group_name_Hall '-P 4 2'
loop_
_atom_site_label
_atom_site_type_symbol
_atom_site_fract_x
_atom_site_fract_y
_atom_site_fract_z
_atom_site_occupancy
K1 K 0.000 0.500 0.000 1
Re1 Re 0.000 0.000 0.500 1
B1 B 0.500 0.500 0.500 1
Rh1 Rh 0.000 0.000 0.000 1

---

# KTiReB2 | the Alexandria database | PBE-GGA | optimized geometry
# electronic total energy = -0.2642 Ry per atom
# density = 5.83 Mg/m³
data_KTiReB2
_chemical_formula_sum 'K1 Ti1 Re1 B2'
_cell_length_a 4.184
_cell_length_b 4.184
_cell_length_c 4.793
_cell_angle_alpha 90.00
_cell_angle_beta 90.00
_cell_angle_gamma 90.00
_space_group_name_H-M_alt 'P 4/m m m'
_space_group_IT_number 123
_space_group_name_Hall '-P 4 2'
loop_
_atom_site_label
_atom_site_type_symbol
_atom_site_fract_x
_atom_site_fract_y
_atom_site_fract_z
_atom_site_occupancy
K1 K 0.000 0.000 0.000 1
Ti1 Ti 0.500 0.500 0.500 1
Re1 Re 0.000 0.000 0.500 1
B1 B 0.000 0.500 0.000 1

---

Question: The lowest electronic total energy belongs to which entry?
Answer: number 7

---

Question: Which formula does entry 9 have?
Answer: K2ReB

---

Question: electronic total energy of number 6 (KReB3)?
Answer: -0.2099 Ry per atom